1.
Below is crystalline PmInTc4 at its relaxed geometry, with properties calculated at the PBE level.

a = 7.588 Å, b = 7.588 Å, c = 7.588 Å
α = 90.00°, β = 90.00°, γ = 90.00°
Space group F-43m (No. 216)
Symmetry-distinct sites (fractional):
Pm 0.000 0.000 0.000 (multiplicity 4)
In 0.250 0.250 0.250 (multiplicity 4)
Tc 0.124 0.124 0.624 (multiplicity 16)

Results
Uncorrected energy = -193.58 eV per cell
DOS(E_F) = 27.12 states/eV per cell


2.
Below is crystalline BaVH at its relaxed geometry, with properties calculated at the PBE level.

a = 11.586 Å, b = 3.461 Å, c = 5.987 Å
α = 90.00°, β = 90.00°, γ = 90.00°
Space group Amm2 (No. 38)
Symmetry-distinct sites (fractional):
Ba 0.164 0.000 0.000 (multiplicity 4)
V 0.420 0.000 0.663 (multiplicity 4)
H 0.000 0.000 0.667 (multiplicity 2)
H 0.500 0.000 0.996 (multiplicity 2)

Results
Uncorrected energy = -50.99 eV per cell
Energy above the most stable polymorph in this dataset = 375.2 meV/atom
DOS(E_F) = 8.79 states/eV per cell


3.
Below is crystalline HfTl3I at its relaxed geometry, with properties calculated at the PBE level.

a = 5.830 Å, b = 5.830 Å, c = 5.830 Å
α = 90.00°, β = 90.00°, γ = 90.00°
Space group Pm-3m (No. 221)
Symmetry-distinct sites (fractional):
Hf 0.000 0.000 0.000 (multiplicity 1)
Tl 0.000 0.000 0.500 (multiplicity 3)
I 0.500 0.500 0.500 (multiplicity 1)

Results
Formation energy from raw total energies = 42.48 kJ/mol of atoms
Uncorrected energy = -16.40 eV per cell
Energy above the most stable polymorph in this dataset = 0.0 meV/atom
DOS(E_F) = 5.64 states/eV per cell


4.
Below is crystalline Nd2HoTm3 at its relaxed geometry, with properties calculated at the PBE level.

a = 17.725 Å, b = 3.488 Å, c = 14.163 Å
α = 90.00°, β = 117.33°, γ = 90.00°
Space group C2/m (No. 12)
Symmetry-distinct sites (fractional):
Nd 0.155 0.000 0.468 (multiplicity 4)
Nd 0.180 0.500 0.880 (multiplicity 4)
Ho 0.063 0.000 0.643 (multiplicity 4)
Tm 0.039 0.500 0.208 (multiplicity 4)
Tm 0.098 0.000 0.026 (multiplicity 4)
Tm 0.237 0.000 0.292 (multiplicity 4)

Results
Uncorrected energy = -107.15 eV per cell
DOS(E_F) = 38.23 states/eV per cell


5.
Below is crystalline K2ScCd at its relaxed geometry, with properties calculated at the PBE level.

a = 20.861 Å, b = 3.554 Å, c = 4.809 Å
α = 90.00°, β = 103.27°, γ = 90.00°
Space group C2/m (No. 12)
Symmetry-distinct sites (fractional):
K 0.156 0.000 0.157 (multiplicity 4)
Sc 0.000 0.000 0.500 (multiplicity 2)
Cd 0.000 0.500 0.000 (multiplicity 2)

Results
Uncorrected energy = -17.30 eV per cell
DOS(E_F) = 7.68 states/eV per cell


6.
Below is crystalline KAl2Co at its relaxed geometry, with properties calculated at the PBE level.

a = 5.833 Å, b = 9.922 Å, c = 2.746 Å
α = 90.00°, β = 90.00°, γ = 90.00°
Space group Cmmm (No. 65)
Symmetry-distinct sites (fractional):
K 0.000 0.000 0.000 (multiplicity 2)
Al 0.250 0.250 0.500 (multiplicity 4)
Co 0.000 0.500 0.000 (multiplicity 2)

Results
Uncorrected energy = -25.32 eV per cell
Energy above the most stable polymorph in this dataset = 731.4 meV/atom
DOS(E_F) = 6.90 states/eV per cell


7.
Below is crystalline Ac3CrC2N6 at its relaxed geometry, with properties calculated at the PBE level.

a = 5.4685 Å, b = 5.4685 Å, c = 6.8849 Å
α = 90.00°, β = 90.00°, γ = 120.00°
Space group P-3m1 (No. 164)
Symmetry-distinct sites (fractional):
Ac 0.0000 0.0000 0.0000 (multiplicity 1)
Ac 0.3333 0.6667 0.6719 (multiplicity 2)
Cr 0.0000 0.0000 0.5000 (multiplicity 1)
C 0.3333 0.6667 0.2795 (multiplicity 2)
N 0.1867 0.3733 0.2867 (multiplicity 6)

Results
Formation energy from raw total energies = -53.87 kJ/mol of atoms
Uncorrected energy = -97.05 eV per cell
DOS(E_F) = 3.16 states/eV per cell


8.
Below is crystalline Tb4NdY5 at its relaxed geometry, with properties calculated at the PBE level.

a = 10.287 Å, b = 10.287 Å, c = 6.300 Å
α = 90.00°, β = 90.00°, γ = 90.00°
Space group I4 (No. 79)
Symmetry-distinct sites (fractional):
Tb 0.050 0.352 0.000 (multiplicity 8)
Nd 0.000 0.000 0.232 (multiplicity 2)
Y 0.000 0.000 0.776 (multiplicity 2)
Y 0.148 0.234 0.503 (multiplicity 8)

Results
Uncorrected energy = -105.26 eV per cell
DOS(E_F) = 31.74 states/eV per cell


9.
Below is crystalline Ac12PuSn6 at its relaxed geometry, with properties calculated at the PBE level.

a = 14.5273 Å, b = 14.5273 Å, c = 13.3556 Å
α = 90.00°, β = 90.00°, γ = 120.00°
Space group R-3 (No. 148, hexagonal axes)
Symmetry-distinct sites (fractional):
Ac 0.0327 0.8264 0.3914 (multiplicity 18)
Ac 0.0560 0.8568 0.8796 (multiplicity 18)
Pu 0.0000 0.0000 0.0000 (multiplicity 3)
Sn 0.0502 0.7704 0.6432 (multiplicity 18)

Results
Uncorrected energy = -276.13 eV per cell
DOS(E_F) = 56.30 states/eV per cell


10.
Below is crystalline LiVPtRh at its relaxed geometry, with properties calculated at the PBE level.

a = 2.870 Å, b = 2.870 Å, c = 6.513 Å
α = 90.00°, β = 90.00°, γ = 90.00°
Space group P4mm (No. 99)
Symmetry-distinct sites (fractional):
Li 0.000 0.000 0.000 (multiplicity 1)
V 0.000 0.000 0.485 (multiplicity 1)
Pt 0.500 0.500 0.755 (multiplicity 1)
Rh 0.500 0.500 0.246 (multiplicity 1)

Results
Uncorrected energy = -26.26 eV per cell
DOS(E_F) = 2.39 states/eV per cell


11.
Below is crystalline BaZrOs2 at its relaxed geometry, with properties calculated at the PBE level.

a = 5.073 Å, b = 5.073 Å, c = 18.015 Å
α = 90.00°, β = 90.00°, γ = 90.00°
Space group I4_1/amd (No. 141, origin choice 2)
Symmetry-distinct sites (fractional):
Ba 0.000 0.250 0.375 (multiplicity 4)
Zr 0.000 0.250 0.875 (multiplicity 4)
Os 0.000 0.000 0.000 (multiplicity 8)

Results
Uncorrected energy = -119.62 eV per cell
Energy above the most stable polymorph in this dataset = 560.0 meV/atom
DOS(E_F) = 19.15 states/eV per cell


12.
Below is crystalline ScAsP3 at its relaxed geometry, with properties calculated at the PBE level.

a = 4.895 Å, b = 4.895 Å, c = 4.895 Å
α = 90.00°, β = 90.00°, γ = 90.00°
Space group Pm-3m (No. 221)
Symmetry-distinct sites (fractional):
Sc 0.000 0.000 0.000 (multiplicity 1)
As 0.500 0.500 0.500 (multiplicity 1)
P 0.000 0.000 0.500 (multiplicity 3)

Results
Uncorrected energy = -23.57 eV per cell
Energy above the most stable polymorph in this dataset = 274.8 meV/atom
DOS(E_F) = 4.22 states/eV per cell


13.
Below is crystalline PrInCuRh at its relaxed geometry, with properties calculated at the PBE level.

a = 6.858 Å, b = 6.858 Å, c = 6.858 Å
α = 90.00°, β = 90.00°, γ = 90.00°
Space group F-43m (No. 216)
Symmetry-distinct sites (fractional):
Pr 0.000 0.000 0.000 (multiplicity 4)
In 0.000 0.000 0.500 (multiplicity 4)
Cu 0.250 0.250 0.750 (multiplicity 4)
Rh 0.250 0.250 0.250 (multiplicity 4)

Results
Uncorrected energy = -81.37 eV per cell
DOS(E_F) = 11.15 states/eV per cell


14.
Below is crystalline Ca2LaCdH at its relaxed geometry, with properties calculated at the PBE level.

a = 5.052 Å, b = 5.052 Å, c = 5.119 Å
α = 90.00°, β = 90.00°, γ = 90.00°
Space group P4/mmm (No. 123)
Symmetry-distinct sites (fractional):
Ca 0.000 0.500 0.000 (multiplicity 2)
La 0.000 0.000 0.500 (multiplicity 1)
Cd 0.500 0.500 0.500 (multiplicity 1)
H 0.000 0.000 0.000 (multiplicity 1)

Results
Uncorrected energy = -14.38 eV per cell
DOS(E_F) = 4.37 states/eV per cell


15.
Below is crystalline CaTaIrO6 at its relaxed geometry, with properties calculated at the PBE level.

a = 4.878 Å, b = 4.878 Å, c = 9.551 Å
α = 90.00°, β = 90.00°, γ = 90.00°
Space group P4_2nm (No. 102)
Symmetry-distinct sites (fractional):
Ca 0.000 0.000 0.000 (multiplicity 2)
Ta 0.000 0.000 0.665 (multiplicity 2)
Ir 0.000 0.000 0.326 (multiplicity 2)
O 0.174 0.174 0.492 (multiplicity 4)
O 0.213 0.213 0.185 (multiplicity 4)
O 0.216 0.216 0.806 (multiplicity 4)

Results
Formation energy from raw total energies = -194.48 kJ/mol of atoms
Uncorrected energy = -141.21 eV per cell
DOS(E_F) = 11.07 states/eV per cell


16.
Below is crystalline Pm3Cd3Pt2 at its relaxed geometry, with properties calculated at the PBE level.

a = 7.7324 Å, b = 7.7324 Å, c = 3.8268 Å
α = 90.00°, β = 90.00°, γ = 120.00°
Space group P-62m (No. 189)
Symmetry-distinct sites (fractional):
Pm 0.0000 0.4198 0.0000 (multiplicity 3)
Cd 0.0000 0.7736 0.5000 (multiplicity 3)
Pt 0.3333 0.6667 0.5000 (multiplicity 2)

Results
Uncorrected energy = -35.15 eV per cell
DOS(E_F) = 4.02 states/eV per cell


17.
Below is crystalline Mn2Cu3 at its relaxed geometry, with properties calculated at the PBE level.

a = 2.6074 Å, b = 2.6074 Å, c = 31.8526 Å
α = 90.00°, β = 90.00°, γ = 120.00°
Space group R-3m (No. 166, hexagonal axes)
Symmetry-distinct sites (fractional):
Mn 0.0000 0.0000 0.0994 (multiplicity 6)
Cu 0.0000 0.0000 0.3004 (multiplicity 6)
Cu 0.0000 0.0000 0.5000 (multiplicity 3)

Results
Uncorrected energy = -88.70 eV per cell
Energy above the most stable polymorph in this dataset = 0.0 meV/atom
DOS(E_F) = 12.02 states/eV per cell


18.
Below is crystalline Tb2SnS4 at its relaxed geometry, with properties calculated at the PBE level.

a = 15.034 Å, b = 4.023 Å, c = 6.960 Å
α = 90.00°, β = 115.64°, γ = 90.00°
Space group C2/m (No. 12)
Symmetry-distinct sites (fractional):
Tb 0.227 0.000 0.219 (multiplicity 4)
Sn 0.000 0.500 0.500 (multiplicity 2)
S 0.134 0.500 0.950 (multiplicity 4)
S 0.146 0.000 0.504 (multiplicity 4)

Results
Formation energy from raw total energies = -150.37 kJ/mol of atoms
Uncorrected energy = -81.36 eV per cell


19.
Below is crystalline PrNd7Dy12 at its relaxed geometry, with properties calculated at the PBE level.

a = 11.355 Å, b = 11.355 Å, c = 11.355 Å
α = 90.00°, β = 90.00°, γ = 90.00°
Space group Im-3m (No. 229)
Symmetry-distinct sites (fractional):
Pr 0.000 0.000 0.000 (multiplicity 2)
Nd 0.000 0.000 0.500 (multiplicity 6)
Nd 0.250 0.250 0.250 (multiplicity 8)
Dy 0.000 0.251 0.251 (multiplicity 24)

Results
Uncorrected energy = -161.88 eV per cell
Energy above the most stable polymorph in this dataset = 393.2 meV/atom
DOS(E_F) = 59.33 states/eV per cell


20.
Below is crystalline Ho2Ge3Pd at its relaxed geometry, with properties calculated at the PBE level.

a = 10.608 Å, b = 4.301 Å, c = 6.903 Å
α = 90.00°, β = 130.36°, γ = 90.00°
Space group Cm (No. 8)
Symmetry-distinct sites (fractional):
Ho 0.000 0.000 0.000 (multiplicity 2)
Ho 0.118 0.000 0.625 (multiplicity 2)
Ge 0.191 0.500 0.415 (multiplicity 2)
Ge 0.229 0.500 0.040 (multiplicity 2)
Ge 0.400 0.000 0.605 (multiplicity 2)
Pd 0.387 0.000 0.211 (multiplicity 2)

Results
Uncorrected energy = -65.38 eV per cell
Energy above the most stable polymorph in this dataset = 35.4 meV/atom
DOS(E_F) = 6.20 states/eV per cell


21.
Below is crystalline CsRb2BiCl6 at its relaxed geometry, with properties calculated at the PBE level.

a = 7.978 Å, b = 8.442 Å, c = 13.934 Å
α = 90.00°, β = 124.71°, γ = 90.00°
Space group P2_1/c (No. 14)
Symmetry-distinct sites (fractional):
Cs 0.000 0.000 0.000 (multiplicity 2)
Rb 0.276 0.072 0.747 (multiplicity 4)
Bi 0.500 0.000 0.500 (multiplicity 2)
Cl 0.147 0.065 0.286 (multiplicity 4)
Cl 0.292 0.675 0.065 (multiplicity 4)
Cl 0.426 0.234 0.084 (multiplicity 4)

Results
Formation energy from raw total energies = -156.95 kJ/mol of atoms
Uncorrected energy = -68.03 eV per cell
DOS(E_F) = 0.00 states/eV per cell


22.
Below is crystalline Li2U2PaN6 at its relaxed geometry, with properties calculated at the PBE level.

a = 5.8363 Å, b = 5.8363 Å, c = 17.7874 Å
α = 90.00°, β = 90.00°, γ = 120.00°
Space group R-3m (No. 166, hexagonal axes)
Symmetry-distinct sites (fractional):
Li 0.0000 0.0000 0.0748 (multiplicity 6)
U 0.0000 0.0000 0.3217 (multiplicity 6)
Pa 0.0000 0.0000 0.5000 (multiplicity 3)
N 0.0440 0.5220 0.2650 (multiplicity 18)

Results
Formation energy from raw total energies = -68.82 kJ/mol of atoms
Uncorrected energy = -281.09 eV per cell
DOS(E_F) = 5.79 states/eV per cell


23.
Below is crystalline Mg6ZnGa at its relaxed geometry, with properties calculated at the PBE level.

a = 6.165 Å, b = 9.208 Å, c = 6.197 Å
α = 90.00°, β = 108.78°, γ = 90.00°
Space group C2/m (No. 12)
Symmetry-distinct sites (fractional):
Mg 0.084 0.248 0.262 (multiplicity 8)
Mg 0.249 0.000 0.996 (multiplicity 4)
Zn 0.000 0.000 0.500 (multiplicity 2)
Ga 0.000 0.500 0.500 (multiplicity 2)

Results
Uncorrected energy = -28.18 eV per cell
Energy above the most stable polymorph in this dataset = 15.8 meV/atom
DOS(E_F) = 4.09 states/eV per cell